No. 1
! Sm4DyS7 PBE-GGA relaxed; values from VASP
! - total magnetization (μB per formula unit) = 0.0
! - uncorrected formation energy (eV/atom) = -2.07
! - E_tot (eV/cell) = -77.21
&SYSTEM
  ibrav = 0, nat = 12, ntyp = 3
/
ATOMIC_SPECIES
Sm 150.36 Sm.upf
Dy 162.50 Dy.upf
S 32.06 S.upf
ATOMIC_POSITIONS angstrom
Sm 0.0000 0.0000 0.0000
Sm 0.1525 0.0000 8.7418
Sm 6.5407 0.0000 4.3995
Sm 9.9096 0.0000 6.5523
Dy 9.7199 0.0000 1.7675
S 1.3217 0.0000 2.5545
S 1.3968 0.0000 5.9837
S 4.8195 0.0000 0.9010
S 5.2876 0.0000 7.1511
S 5.4437 0.0000 10.6139
S 8.7125 0.0000 9.0201
S 11.1024 0.0000 4.0772
CELL_PARAMETERS angstrom
6.5632 -1.9441 0.0000
6.5632 1.9441 0.0000
-3.0382 0.0000 11.3871

=====

No. 2
! BiSbSCl2 PBE-GGA relaxed; values from VASP
! - total magnetization (μB per formula unit) = 2.0
! - uncorrected formation energy (eV/atom) = 0.04
! - E_tot (eV/cell) = -15.65
! - polymorph energy (0 for the lowest one) (eV/f.u.) = 0.12
&SYSTEM
  ibrav = 0, nat = 5, ntyp = 4
/
ATOMIC_SPECIES
Bi 208.98 Bi.upf
Sb 121.76 Sb.upf
S 32.06 S.upf
Cl 35.45 Cl.upf
ATOMIC_POSITIONS angstrom
Bi 0.0000 0.0000 0.0000
Sb 2.6762 2.6762 2.7833
S 0.0000 0.0000 2.7833
Cl 0.0000 2.6762 0.0000
Cl 2.6762 0.0000 0.0000
CELL_PARAMETERS angstrom
5.3525 0.0000 0.0000
0.0000 5.3525 0.0000
0.0000 0.0000 5.5665

=====

No. 3
! Mg2MnSn PBE-GGA relaxed; values from VASP
! - total magnetization (μB per formula unit) = 4.0
! - E_tot (eV/cell) = -14.63
! - energy relative to the elements (eV per atom) = 0.43
&SYSTEM
  ibrav = 0, nat = 4, ntyp = 3
/
ATOMIC_SPECIES
Mg 24.30 Mg.upf
Mn 54.94 Mn.upf
Sn 118.71 Sn.upf
ATOMIC_POSITIONS angstrom
Mg 0.0000 0.0000 2.7841
Mg 0.0000 0.0000 29.7409
Mn 0.0000 0.0000 0.0000
Sn 0.0000 0.0000 16.2625
CELL_PARAMETERS angstrom
1.5637 0.9028 10.8417
-1.5637 0.9028 10.8417
0.0000 -1.8056 10.8417

=====

No. 4
! NaTeIrO6 PBE-GGA relaxed; values from VASP
! - total magnetization (μB per formula unit) = 2.1
! - uncorrected formation energy (eV/atom) = -1.03
! - E_tot (eV/cell) = -104.64
&SYSTEM
  ibrav = 0, nat = 18, ntyp = 4
/
ATOMIC_SPECIES
Na 22.99 Na.upf
Te 127.60 Te.upf
Ir 192.22 Ir.upf
O 16.00 O.upf
ATOMIC_POSITIONS angstrom
Na 0.0000 0.0000 0.0000
Na 0.0000 0.0000 5.2158
Te 0.0000 3.0419 2.6079
Te 2.6344 1.5210 7.8236
Ir 0.0000 3.0419 7.8236
Ir 2.6344 1.5210 2.6079
O -0.9714 1.6939 6.7429
O -1.6531 2.8747 8.9044
O 0.9714 1.6939 8.9044
O -0.6818 4.5572 6.7429
O 1.9526 0.0057 1.5272
O 0.9812 1.6881 3.6886
O 1.6531 2.8747 6.7429
O 0.6818 4.5572 8.9044
O 3.3162 0.0057 3.6886
O 1.6630 2.8690 1.5272
O 4.2875 1.6881 1.5272
O 3.6057 2.8690 3.6886
CELL_PARAMETERS angstrom
5.2688 0.0000 0.0000
-2.6344 4.5629 0.0000
0.0000 0.0000 10.4315